Density functional theory data (GGA-PBE) for crystalline MgSbAs at its relaxed geometry.

As for the total energy: -10.3 eV per formula unit. As for the crystal system: trigonal. The value obtained for the volume is 24.71 Å³/atom. Its energy above the most stable polymorph in this dataset is 0.44 eV/f.u. The density of states at the Fermi level is 1.5 states/eV per cell. As for the formation energy without anion corrections: 0.04 eV per atom.

The space group is P3m1 (No. 156) and the conventional cell measures 3.1948, 3.1948 and 8.3851 Å, with angles of 90.00, 90.00 and 120.00 degrees. Symmetry generates all atoms from Mg at (0.0000, 0.0000, 0.0000), Sb at (0.6667, 0.3333, 0.2961) and As at (0.3333, 0.6667, 0.7459).